A plane-wave DFT calculation with GGA-PBE was carried out for Sm6DyY3Th2 after structural relaxation.

Results
formation energy from the elements = 0.033 eV per atom
uncorrected energy = -5.563 eV per atom
spin magnetization = 0.0 Bohr magnetons per cell
ρ = 7.5 g/cm³

Cell lengths 6.2331, 10.7851, 11.9621 Å; angles 90.00, 99.99, 90.00 degrees
Last column: nearest neighbours and their distance in Å.
Space group C2/m (No. 12)
One atom of each set of equivalent atoms:
Sm 0.2458 0.0000 0.2473 x4  2 Th 3.57, 6 Sm 3.58-3.63, 1 Dy 3.59, 3 Y 3.62-3.63
Sm 0.2493 0.1682 0.7530 x8  2 Th 3.57, 6 Sm 3.58-3.63, 1 Dy 3.59, 3 Y 3.62-3.64
Dy 0.0000 0.5000 0.0000 x2  6 Sm 3.59, 6 Th 3.60
Y 0.0000 0.0000 0.5000 x2  6 Y 3.60, 6 Sm 3.62-3.64
Y 0.0000 0.3334 0.5000 x4  6 Y 3.59-3.60, 6 Sm 3.62-3.64
Th 0.0000 0.1665 0.0000 x4  6 Sm 3.57, 3 Th 3.59-3.60, 3 Dy 3.60


A plane-wave DFT calculation with GGA-PBE was carried out for CaPm4Te6 after structural relaxation.

Results
uncorrected energy = -5.077 eV per atom
spin magnetization = 0.0 Bohr magnetons per cell
ρ = 6.2 g/cm³

Cell lengths 4.4169, 14.6295, 22.9259 Å; angles 90.00, 90.00, 90.00 degrees
Last column: nearest neighbours and their distance in Å.
Space group Cmcm (No. 63)
One atom of each set of equivalent atoms:
Ca 0.0000 0.1600 0.2500 x4  6 Te 3.16-3.33
Pm 0.0000 0.0876 0.6291 x8  6 Te 3.12-3.22
Pm 0.0000 0.3592 0.5382 x8  6 Te 3.14-3.21
Te 0.0000 0.0000 0.0000 x4  6 Pm 3.14-3.22
Te 0.0000 0.1853 0.7500 x4  2 Pm 3.12, 2 Ca 3.16
Te 0.0000 0.2703 0.0899 x8  5 Pm 3.14-3.21
Te 0.0000 0.4466 0.6653 x8  3 Pm 3.13-3.18, 2 Ca 3.33


A plane-wave DFT calculation with GGA-PBE was carried out for NaP2PbCl after structural relaxation.

Results
uncorrected energy = -2.948 eV per atom
relative energy among the computed polymorphs = 238 meV per atom
spin magnetization = 1.4 Bohr magnetons per cell
ρ = 4.2 g/cm³

Cell lengths 5.0081, 5.0081, 5.1239 Å; angles 90.00, 90.00, 90.00 degrees
Last column: nearest neighbours and their distance in Å.
Space group P4/mmm (No. 123)
One atom of each set of equivalent atoms:
Na 0.0000 0.0000 0.0000 x1  4 P 2.50, 2 Cl 2.56
P 0.0000 0.5000 0.0000 x2  2 Na 2.50
Pb 0.5000 0.5000 0.5000 x1  4 Cl 3.54, 8 P 3.58
Cl 0.0000 0.0000 0.5000 x1  2 Na 2.56


A plane-wave DFT calculation with GGA-PBE was carried out for PmDy8Bi6 after structural relaxation.

Results
formation energy from the elements = -0.525 eV per atom
uncorrected energy = -4.848 eV per atom
spin magnetization = 0.0 Bohr magnetons per cell
ρ = 8.9 g/cm³

Cell lengths 7.6883, 7.6883, 29.4449 Å; angles 90.00, 90.00, 120.00 degrees
Last column: nearest neighbours and their distance in Å.
Space group R-3 (No. 148, hexagonal axes)
One atom of each set of equivalent atoms:
Pm 0.0000 0.0000 0.0000 x3  6 Bi 3.20
Dy 0.0000 0.0000 0.3336 x6  6 Bi 3.15
Dy 0.0020 0.6729 0.1216 x18  3 Bi 3.08-3.09
Bi 0.0013 0.6621 0.9368 x18  5 Dy 3.08-3.15, 1 Pm 3.20


A plane-wave DFT calculation with GGA-PBE was carried out for La3Pu2UN6 after structural relaxation.

Results
uncorrected energy = -10.067 eV per atom
spin magnetization = 20.3 Bohr magnetons per cell
ρ = 10.4 g/cm³

Cell lengths 6.1820, 10.6902, 6.2694 Å; angles 90.00, 109.18, 90.00 degrees
Last column: nearest neighbours and their distance in Å.
Space group C2/m (No. 12)
One atom of each set of equivalent atoms:
La 0.0000 0.0000 0.0000 x2  6 N 2.65-2.77
La 0.0000 0.3308 0.0000 x4  6 N 2.65-2.76
Pu 0.0000 0.1662 0.5000 x4  6 N 2.45
U 0.0000 0.5000 0.5000 x2  6 N 2.30-2.32
N 0.2263 0.3427 0.7072 x8  1 U 2.30, 2 Pu 2.45
N 0.2458 0.5000 0.2898 x4  1 U 2.32, 2 Pu 2.45


A plane-wave DFT calculation with GGA-PBE was carried out for SmHo4Er6 after structural relaxation.

Results
formation energy from the elements = 0.125 eV per atom
uncorrected energy = -4.458 eV per atom
relative energy among the computed polymorphs = 0 meV per atom
spin magnetization = 0.0 Bohr magnetons per cell
ρ = 8.8 g/cm³

Cell lengths 5.6123, 9.6080, 25.5010 Å; angles 90.00, 90.00, 90.00 degrees
Last column: nearest neighbours and their distance in Å.
Space group Cmcm (No. 63)
One atom of each set of equivalent atoms:
Sm 0.0000 0.1748 0.2500 x4  3 Er 3.21-3.23
Ho 0.0000 0.1630 0.5417 x8  8 Er 3.39-3.68, 2 Ho 3.72-3.79
Ho 0.0000 0.4878 0.6212 x8  5 Er 3.09-3.28
Er 0.0000 0.1567 0.6810 x8  7 Er 3.52-3.80, 4 Ho 3.53-3.58, 3 Sm 3.64-3.69
Er 0.0000 0.1766 0.1026 x8  6 Ho 3.25-3.61
Er 0.0000 0.4914 0.7500 x4  3 Sm 3.21-3.23, 2 Ho 3.28
Er 0.0000 0.5000 0.0000 x4  8 Ho 3.09-3.41


A plane-wave DFT calculation with GGA-PBE was carried out for Sm8Ge3SeS4 after structural relaxation.

Results
uncorrected energy = -6.086 eV per atom
spin magnetization = 0.0 Bohr magnetons per cell
ρ = 6.8 g/cm³

Cell lengths 8.2856, 8.2856, 20.1600 Å; angles 90.00, 90.00, 120.00 degrees
Last column: nearest neighbours and their distance in Å.
Space group R-3m (No. 166, hexagonal axes)
One atom of each set of equivalent atoms:
Sm 0.0000 0.0000 0.2495 x6  3 S 2.92, 3 Ge 2.93
Sm 0.0057 0.5028 0.2495 x18  3 S 2.88-2.93, 2 Ge 2.91, 1 Se 2.96
Ge 0.0000 0.5000 0.0000 x9  6 Sm 2.91-2.93
Se 0.0000 0.0000 0.0000 x3  6 Sm 2.96
S 0.0000 0.0000 0.5000 x3  6 Sm 2.88
S 0.0000 0.5000 0.5000 x9  6 Sm 2.92-2.93


A plane-wave DFT calculation with GGA-PBE was carried out for Tb3Ce2ThP6 after structural relaxation.

Results
formation energy from the elements = -1.577 eV per atom
uncorrected energy = -7.047 eV per atom
spin magnetization = 2.2 Bohr magnetons per cell
ρ = 6.8 g/cm³

Cell lengths 7.0564, 12.2264, 7.0340 Å; angles 90.00, 109.54, 90.00 degrees
Last column: nearest neighbours and their distance in Å.
Space group C2/m (No. 12)
One atom of each set of equivalent atoms:
Tb 0.0000 0.0000 0.0000 x2  6 P 2.86-2.87
Tb 0.0000 0.3334 0.0000 x4  6 P 2.86-2.87
Ce 0.0000 0.1667 0.5000 x4  6 P 2.88-2.89
Th 0.0000 0.5000 0.5000 x2  6 P 2.90
P 0.2481 0.1675 0.2469 x8  3 Tb 2.86-2.87, 2 Ce 2.88, 1 Th 2.90
P 0.2495 0.0000 0.7533 x4  3 Tb 2.86-2.87, 2 Ce 2.89, 1 Th 2.90


Which of these has the highest uncorrected energy? NaP2PbCl


Which value of spin magnetization does entry 6 give? 0.0 Bohr magnetons per cell